Here is an optimized crystal structure of Nd2SmMg4 from the Alexandria database. Energies are from PBE.

The structure belongs to space group I4/mmm (No. 139); the cell edges are 5.4639, 5.4639 and 14.8185 Å and the angles 90.00°, 90.00° and 90.00°. The distinct sites, in fractional coordinates, are Nd at (0.0000, 0.0000, 0.2461), Sm at (0.0000, 0.0000, 0.5000) and Mg at (0.0000, 0.5000, 0.1148).

The value obtained for the volume is 31.6 Å³/atom. The total energy comes out at -2.83 eV per atom. Its energy of formation is 0.113 eV per atom.